The following is a DFT calculation (GGA-PBE) of an optimized crystal structure of SrLiPb4.

Output
As for the space group: F-43m, No. 216. The distance to the lowest polymorph of the same formula comes out at 0.1078 eV/atom. The size of the total moment comes out at 0.000 μB/atom. The value obtained for the final energy is -19.52 eV per formula unit.

abc: 6.571 6.571 6.571
angles: 60.00 60.00 60.00
Atoms (fractional coordinates):
Sr: 0.750 0.750 0.750
Li: 0.000 0.000 0.000
Pb: 0.872 0.376 0.376
Pb: 0.376 0.376 0.872
Pb: 0.376 0.872 0.376
Pb: 0.376 0.376 0.376

The following is a DFT calculation (GGA-PBE) of an optimized crystal structure of Os2RuBr.

Output
As for the space group: P4mm, No. 99. The distance to the lowest polymorph of the same formula comes out at 0.0811 eV/atom. The size of the total moment comes out at 0.000 μB/atom. Its uncorrected formation energy is 3.22 eV/f.u. The value obtained for the final energy is -30.19 eV per formula unit.

abc: 2.854 2.854 7.689
angles: 90.00 90.00 90.00
Atoms (fractional coordinates):
Ru: 0.000 0.000 0.488
Os: 0.000 0.000 0.026
Os: 0.500 0.500 0.248
Br: 0.500 0.500 0.739

The following is a DFT calculation (GGA-PBE) of an optimized crystal structure of P2Pd2Pt5.

Output
As for the space group: P-1, No. 2. The size of the total moment comes out at 0.000 μB/atom. The value obtained for the final energy is -53.83 eV per formula unit.

abc: 6.585 5.216 5.849
angles: 85.27 131.30 109.47
Atoms (fractional coordinates):
P: 0.115 0.426 0.862
P: 0.885 0.574 0.138
Pd: 0.497 0.770 0.900
Pd: 0.503 0.230 0.100
Pt: 0.386 0.716 0.334
Pt: 0.614 0.284 0.666
Pt: 0.087 0.266 0.462
Pt: 0.913 0.734 0.538
Pt: 0.000 0.000 0.000